Sr2GdCu, optimized geometry, DFT PBE-GGA; size of the total moment = 8.1 μB/cell; E_tot = -5.05 eV per atom; calculated formation energy = 336 meV/atom; DOS(E_F) = 2.27 states/eV per atom; space-group type = R-3m (166)
1.0
-0.5390 -0.6189 -3.8779
2.6696 -2.0785 -2.0651
-4.9686 -10.4994 0.3405
Cu Sr Gd
1 2 1
Direct
0.5000 0.5000 0.5000
0.1083 0.1083 0.6752
0.8917 0.8917 0.3248
0.0000 0.0000 0.0000

SrGdTlCu, optimized geometry, DFT PBE-GGA; size of the total moment = 7.3 μB/cell; E_tot = -5.71 eV per atom; calculated formation energy = -156 meV/atom; DOS(E_F) = 0.93 states/eV per atom; space-group type = F-43m (216)
1.0
-1.1281 -3.7976 -3.6567
2.1742 -4.9122 0.4565
-3.0956 -4.2036 1.3463
Gd Sr Tl Cu
1 1 1 1
Direct
0.0000 0.0000 0.0000
0.5000 0.5000 0.5000
0.7500 0.7500 0.7500
0.2500 0.2500 0.2500

SrGdZnCu, optimized geometry, DFT PBE-GGA; size of the total moment = 7.2 μB/cell; E_tot = -5.38 eV per atom; calculated formation energy = -101 meV/atom; DOS(E_F) = 0.92 states/eV per atom; space-group type = F-43m (216)
1.0
-0.4783 -5.1811 -0.1970
1.0271 -2.5428 -4.4261
4.2445 -2.9946 -0.3573
Cu Gd Sr Zn
1 1 1 1
Direct
0.7500 0.7500 0.7500
0.0000 0.0000 0.0000
0.5000 0.5000 0.5000
0.2500 0.2500 0.2500

TbGdCu, optimized geometry, DFT PBE-GGA; energy above the most stable polymorph in this dataset = 0.000 eV/atom; size of the total moment = 7.9 μB/cell; E_tot = -7.73 eV per atom; calculated formation energy = -126 meV/atom; DOS(E_F) = 1.22 states/eV per atom; space-group type = I4mm (107)
1.0
3.5213 0.0000 0.0000
0.0000 3.5213 0.0000
-1.7607 -1.7607 6.1158
Gd Cu Tb
1 1 1
Direct
0.3085 0.3085 0.6170
0.6635 0.6635 0.3270
0.0280 0.0280 0.0560

TbGd2Cu, optimized geometry, DFT PBE-GGA; energy above the most stable polymorph in this dataset = 0.000 eV/atom; size of the total moment = 14.7 μB/cell; E_tot = -9.30 eV per atom; calculated formation energy = -79 meV/atom; DOS(E_F) = 1.37 states/eV per atom; space-group type = P4/mmm (123)
1.0
-3.2504 0.5907 -1.2653
1.0531 -1.0682 -3.2039
-2.2402 -8.1114 1.9681
Cu Gd Tb
1 2 1
Direct
0.5000 0.5000 0.0000
0.0000 0.0000 0.8002
0.0000 0.0000 0.1998
0.5000 0.5000 0.5000

TbGdCu4, optimized geometry, DFT PBE-GGA; size of the total moment = 7.1 μB/cell; E_tot = -6.00 eV per atom; calculated formation energy = -151 meV/atom; DOS(E_F) = 0.65 states/eV per atom; space-group type = F-43m (216)
1.0
5.2816 0.0000 0.0000
2.6408 4.5740 0.0000
2.6408 1.5247 4.3124
Cu Tb Gd
4 1 1
Direct
0.6251 0.1246 0.6251
0.6251 0.6251 0.6251
0.1246 0.6251 0.6251
0.6251 0.6251 0.1246
0.0000 0.0000 0.0000
0.2500 0.2500 0.2500